# 1
# Ho3Tm3Bi2Os, relaxed, DFT PBE-GGA
data_Ho3Tm3Bi2Os
_chemical_formula_sum 'Ho3 Tm3 Bi2 Os1'
_cell_length_a 8.2232
_cell_length_b 8.2232
_cell_length_c 4.2212
_cell_angle_alpha 90.00
_cell_angle_beta 90.00
_cell_angle_gamma 120.00
_symmetry_space_group_name_H-M 'P -6 2 m'
_symmetry_Int_Tables_number 189
_symmetry_space_group_name_Hall 'P -6 -2'
loop_
_atom_site_label
_atom_site_type_symbol
_atom_site_fract_x
_atom_site_fract_y
_atom_site_fract_z
Ho1 Ho 0.0000 0.2343 0.0000
Tm1 Tm 0.0000 0.6170 0.5000
Bi1 Bi 0.3333 0.6667 0.0000
Os1 Os 0.0000 0.0000 0.5000
# - V (A^3/atom) = 27.47
# - energy (eV/atom) = -5.691
# - E above lowest polymorph (meV per atom) = 42

---

# 2
# Y2Ho3TmBi2Os, relaxed, DFT PBE-GGA
data_Y2Ho3TmBi2Os
_chemical_formula_sum 'Y4 Ho6 Tm2 Bi4 Os2'
_cell_length_a 4.2265
_cell_length_b 14.2659
_cell_length_c 8.2906
_cell_angle_alpha 90.00
_cell_angle_beta 90.00
_cell_angle_gamma 90.00
_symmetry_space_group_name_H-M 'A m m 2'
_symmetry_Int_Tables_number 38
_symmetry_space_group_name_Hall 'A 2 -2'
loop_
_atom_site_label
_atom_site_type_symbol
_atom_site_fract_x
_atom_site_fract_y
_atom_site_fract_z
Y1 Y 0.0000 0.1175 0.0000
Ho1 Ho 0.5000 0.0000 0.2711
Ho2 Ho 0.5000 0.1923 0.6888
Tm1 Tm 0.0000 0.0000 0.6490
Bi1 Bi 0.0000 0.1656 0.3830
Os1 Os 0.5000 0.0000 0.8755
# - V (A^3/atom) = 27.77
# - energy (eV/atom) = -6.149

---

# 3
# Ho3Zr3Bi2Os, relaxed, DFT PBE-GGA
data_Ho3Zr3Bi2Os
_chemical_formula_sum 'Ho3 Zr3 Bi2 Os1'
_cell_length_a 8.1071
_cell_length_b 8.1071
_cell_length_c 4.0137
_cell_angle_alpha 90.00
_cell_angle_beta 90.00
_cell_angle_gamma 120.00
_symmetry_space_group_name_H-M 'P -6 2 m'
_symmetry_Int_Tables_number 189
_symmetry_space_group_name_Hall 'P -6 -2'
loop_
_atom_site_label
_atom_site_type_symbol
_atom_site_fract_x
_atom_site_fract_y
_atom_site_fract_z
Ho1 Ho 0.0000 0.3909 0.0000
Zr1 Zr 0.0000 0.7684 0.5000
Bi1 Bi 0.3333 0.6667 0.5000
Os1 Os 0.0000 0.0000 0.0000
# - V (A^3/atom) = 25.38
# - energy (eV/atom) = -7.004
# - E above lowest polymorph (meV per atom) = 0

---

# 4
# Ho3Zr3Bi2Os, relaxed, DFT PBE-GGA
data_Ho3Zr3Bi2Os
_chemical_formula_sum 'Ho3 Zr3 Bi2 Os1'
_cell_length_a 8.1701
_cell_length_b 8.1701
_cell_length_c 3.8561
_cell_angle_alpha 90.00
_cell_angle_beta 90.00
_cell_angle_gamma 120.00
_symmetry_space_group_name_H-M 'P -6 2 m'
_symmetry_Int_Tables_number 189
_symmetry_space_group_name_Hall 'P -6 -2'
loop_
_atom_site_label
_atom_site_type_symbol
_atom_site_fract_x
_atom_site_fract_y
_atom_site_fract_z
Ho1 Ho 0.0000 0.7547 0.0000
Zr1 Zr 0.0000 0.3907 0.5000
Bi1 Bi 0.3333 0.6667 0.0000
Os1 Os 0.0000 0.0000 0.5000
# - V (A^3/atom) = 24.77
# - energy (eV/atom) = -6.822
# - E above lowest polymorph (meV per atom) = 182

---

# 5
# HoPaBi, relaxed, DFT PBE-GGA
data_HoPaBi
_chemical_formula_sum 'Ho4 Pa4 Bi4'
_cell_length_a 7.5177
_cell_length_b 7.5177
_cell_length_c 7.5177
_cell_angle_alpha 90.00
_cell_angle_beta 90.00
_cell_angle_gamma 90.00
_symmetry_space_group_name_H-M 'F -4 3 m'
_symmetry_Int_Tables_number 216
_symmetry_space_group_name_Hall 'F -4 2 3'
loop_
_atom_site_label
_atom_site_type_symbol
_atom_site_fract_x
_atom_site_fract_y
_atom_site_fract_z
Ho1 Ho 0.0000 0.0000 0.0000
Pa1 Pa 0.2500 0.2500 0.7500
Bi1 Bi 0.0000 0.0000 0.5000
# - V (A^3/atom) = 35.41
# - energy (eV/atom) = -5.334

---

# 6
# PmHoBi, relaxed, DFT PBE-GGA
data_PmHoBi
_chemical_formula_sum 'Pm4 Ho4 Bi4'
_cell_length_a 7.3793
_cell_length_b 7.3793
_cell_length_c 7.3793
_cell_angle_alpha 90.00
_cell_angle_beta 90.00
_cell_angle_gamma 90.00
_symmetry_space_group_name_H-M 'F -4 3 m'
_symmetry_Int_Tables_number 216
_symmetry_space_group_name_Hall 'F -4 2 3'
loop_
_atom_site_label
_atom_site_type_symbol
_atom_site_fract_x
_atom_site_fract_y
_atom_site_fract_z
Pm1 Pm 0.0000 0.0000 0.0000
Ho1 Ho 0.0000 0.0000 0.5000
Bi1 Bi 0.2500 0.2500 0.7500
# - V (A^3/atom) = 33.49
# - energy (eV/atom) = -4.798
# - E above lowest polymorph (meV per atom) = 0

---

Q: V of number 2 (Y2Ho3TmBi2Os)?
A: 27.77 A^3/atom

---

Q: Among the records above, which one has the lowest energy?
A: number 3